1.
! MnHgCl2 PBE-GGA optimized geometry; values from VASP
! DFT total energy ... -3.36 eV per atom
! Energy above the most stable polymorph in this dataset ... 725 meV per atom
! Fermi-level density of states ... 1.23 states/eV per cell
&SYSTEM
  ibrav = 0, nat = 4, ntyp = 3
/
ATOMIC_SPECIES
Hg 200.59 Hg.upf
Mn 54.94 Mn.upf
Cl 35.45 Cl.upf
ATOMIC_POSITIONS angstrom
Hg 0.5378 2.6912 -0.3965
Mn 3.7991 -0.2899 1.8806
Cl 0.0000 0.0000 0.0000
Cl -1.8915 3.3344 0.7756
CELL_PARAMETERS angstrom
6.2284 -0.9331 0.7086
-5.1528 6.3156 -1.5015
1.3698 0.3533 3.0527

2.
! Mn3Hg5Cl16 PBE-GGA optimized geometry; values from VASP
! DFT total energy ... -3.18 eV per atom
&SYSTEM
  ibrav = 0, nat = 24, ntyp = 3
/
ATOMIC_SPECIES
Mn 54.94 Mn.upf
Cl 35.45 Cl.upf
Hg 200.59 Hg.upf
ATOMIC_POSITIONS angstrom
Mn -1.9407 4.7744 4.5582
Cl -2.4980 10.5519 7.1618
Hg 0.4224 3.7735 1.6906
Cl 0.0129 12.9264 5.9819
Cl -9.0708 8.6979 5.2330
Mn -2.5340 12.9479 6.3307
Cl 5.6003 9.2605 3.5416
Cl -5.0747 13.0702 6.7253
Cl -0.1805 9.5116 4.4269
Cl -1.7233 4.1101 0.1000
Hg -3.1013 9.4298 4.7777
Cl -3.1766 8.5671 2.2392
Cl -2.9180 12.0135 4.0043
Cl -1.2845 2.5833 3.3985
Cl -3.8142 5.0341 2.8377
Hg -3.4089 2.5620 1.6395
Cl -2.7125 6.9521 5.7282
Mn -2.3920 6.3449 1.1653
Cl 3.0764 10.1534 6.5070
Hg 0.2831 10.3919 6.8638
Cl -0.5310 6.0823 2.8862
Hg -0.1685 11.9633 3.4692
Cl 2.5978 11.8189 2.9091
Cl -5.8237 9.5953 5.2165
CELL_PARAMETERS angstrom
-5.7481 5.1648 -1.0687
-4.8358 1.9904 5.7890
7.9152 8.9623 3.0957

3.
! MnHgCl2 PBE-GGA optimized geometry; values from VASP
! DFT total energy ... -3.38 eV per atom
! Energy above the most stable polymorph in this dataset ... 702 meV per atom
! Fermi-level density of states ... 0.00 states/eV per cell
&SYSTEM
  ibrav = 0, nat = 4, ntyp = 3
/
ATOMIC_SPECIES
Cl 35.45 Cl.upf
Hg 200.59 Hg.upf
Mn 54.94 Mn.upf
ATOMIC_POSITIONS angstrom
Cl 0.6488 -4.2553 8.1666
Hg 0.4325 -2.8368 5.4444
Mn 0.0000 0.0000 0.0000
Cl 0.2163 -1.4184 2.7222
CELL_PARAMETERS angstrom
3.0341 -0.9889 3.8816
-1.8764 -0.2541 4.6546
-0.2926 -4.4307 2.3526

4.
! MnHgCl2 PBE-GGA optimized geometry; values from VASP
! DFT total energy ... -3.32 eV per atom
! Energy above the most stable polymorph in this dataset ... 763 meV per atom
! Fermi-level density of states ... 1.38 states/eV per cell
&SYSTEM
  ibrav = 0, nat = 4, ntyp = 3
/
ATOMIC_SPECIES
Mn 54.94 Mn.upf
Cl 35.45 Cl.upf
Hg 200.59 Hg.upf
ATOMIC_POSITIONS angstrom
Mn -0.3205 2.3896 1.9516
Cl 2.0902 2.4310 0.0000
Hg 2.4107 0.0414 1.9516
Cl 0.0000 0.0000 0.0000
CELL_PARAMETERS angstrom
4.8214 0.0828 0.0000
-0.6411 4.7793 0.0000
0.0000 0.0000 3.9033

5.
! MnHgCl2 PBE-GGA optimized geometry; values from VASP
! DFT total energy ... -4.08 eV per atom
! Energy above the most stable polymorph in this dataset ... 0 meV per atom
&SYSTEM
  ibrav = 0, nat = 8, ntyp = 3
/
ATOMIC_SPECIES
Cl 35.45 Cl.upf
Mn 54.94 Mn.upf
Hg 200.59 Hg.upf
ATOMIC_POSITIONS angstrom
Cl 1.8442 1.0647 12.1276
Mn 0.0000 0.0000 0.0000
Cl 0.0000 2.1295 1.3969
Hg 0.0000 2.1295 5.3654
Cl 0.0000 2.1295 9.3339
Cl 1.8442 1.0647 20.0646
Mn 0.0000 0.0000 10.7307
Hg 1.8442 1.0647 16.0961
CELL_PARAMETERS angstrom
3.6883 0.0000 0.0000
-1.8442 3.1942 0.0000
0.0000 0.0000 21.4615

6.
! MnHgCl2 PBE-GGA optimized geometry; values from VASP
! DFT total energy ... -3.83 eV per atom
! Energy above the most stable polymorph in this dataset ... 257 meV per atom
! Fermi-level density of states ... 0.40 states/eV per cell
&SYSTEM
  ibrav = 0, nat = 4, ntyp = 3
/
ATOMIC_SPECIES
Cl 35.45 Cl.upf
Mn 54.94 Mn.upf
Hg 200.59 Hg.upf
ATOMIC_POSITIONS angstrom
Cl -0.0426 8.6870 2.0011
Mn 0.4330 6.7050 3.8352
Hg 0.4566 1.9024 2.7289
Cl -0.0281 5.7208 1.3178
CELL_PARAMETERS angstrom
-1.7638 -0.6145 2.6302
2.7004 -0.3833 1.7213
-0.0471 9.6052 2.2126

7.
! MnHgCl4 PBE-GGA optimized geometry; values from VASP
! DFT total energy ... -3.62 eV per atom
! Energy above the most stable polymorph in this dataset ... 0 meV per atom
&SYSTEM
  ibrav = 0, nat = 12, ntyp = 3
/
ATOMIC_SPECIES
Mn 54.94 Mn.upf
Cl 35.45 Cl.upf
Hg 200.59 Hg.upf
ATOMIC_POSITIONS angstrom
Mn 0.0000 -0.0310 6.3820
Cl 3.8057 4.3125 11.3663
Cl 0.0000 2.1198 7.8182
Hg 1.9029 3.3575 6.3821
Cl 0.0000 4.5953 4.9461
Cl 1.9029 5.5394 1.4363
Cl 1.9029 1.1756 11.3280
Cl 0.0002 2.4026 1.3980
Cl 1.9031 0.9550 4.9842
Mn 1.9029 3.3886 0.0001
Cl 1.9028 5.7601 7.7801
Hg 0.0000 0.0000 0.0000
CELL_PARAMETERS angstrom
3.8059 0.0000 0.0000
0.0000 6.7771 0.0002
0.0000 -0.0621 12.7641

8.
! MnHgCl2 PBE-GGA optimized geometry; values from VASP
! DFT total energy ... -3.66 eV per atom
! Energy above the most stable polymorph in this dataset ... 428 meV per atom
! Fermi-level density of states ... 1.46 states/eV per cell
&SYSTEM
  ibrav = 0, nat = 4, ntyp = 3
/
ATOMIC_SPECIES
Cl 35.45 Cl.upf
Hg 200.59 Hg.upf
Mn 54.94 Mn.upf
ATOMIC_POSITIONS angstrom
Cl 2.2847 1.8626 1.3976
Cl 5.2927 6.1435 -1.0729
Hg 2.9438 3.4170 -0.5968
Mn 4.8451 4.8345 0.8786
CELL_PARAMETERS angstrom
-1.7403 1.9624 2.6517
2.8234 -2.2840 0.8503
5.7133 6.6316 -1.1582

Asked for formation energy from raw total energies across the records above, the calculation gives -0.27; -17.73; -0.36; -0.11; -3.17; -2.14; -4.87; -1.46 eV per formula unit in order.